Below is a crystal of Sc2FeSb2 relaxed with PBEsol, with properties calculated at the meta-GGA SCAN level.

Structure (extended XYZ):
```
5
Lattice="4.0230 0.0000 0.0000 0.0000 4.0230 0.0000 -2.0115 -2.0115 7.3608" Properties=species:S:1:pos:R:3 pbc="T T T"
Fe 0.0000 0.0000 0.0000
Sb 0.0000 2.0115 3.6804
Sb 2.0115 0.0000 3.6804
Sc 0.0000 0.0000 5.9330
Sc 2.0115 2.0115 1.4277
```

- total moment (μB/atom) = 0.442
- DFT total energy (eV per cell) = -120.4
- uncorrected formation energy (eV/atom) = 0.151
- Fermi-level density of states (states/eV/atom) = 1.067